This record from the Open Quantum Materials Database describes NbRe2B2 after structural relaxation. The functional is PBE-GGA.

Total magnetization, μB/cell: 0.00
Excess energy over the best structure of this formula in the dataset, meV/atom: 0

Cell lengths 6.2838, 6.2838, 2.9669 Å; angles 90.00, 90.00, 90.00 degrees
Space group P4/mbm (No. 127)
Asymmetric unit:
Nb: 0.0000 0.0000 0.0000 (multiplicity 2)
Re: 0.1511 0.3489 0.5000 (multiplicity 4)
B: 0.1349 0.6349 0.0000 (multiplicity 4)

---

This record from the Open Quantum Materials Database describes SrIrPd after structural relaxation. The functional is PBE-GGA.

Total magnetization, μB/cell: 3.73
Excess energy over the best structure of this formula in the dataset, meV/atom: 0

Cell lengths 6.5967, 6.5967, 6.5967 Å; angles 90.00, 90.00, 90.00 degrees
Space group F-43m (No. 216)
Asymmetric unit:
Sr: 0.0000 0.0000 0.0000 (multiplicity 4)
Ir: 0.2500 0.2500 0.7500 (multiplicity 4)
Pd: 0.0000 0.0000 0.5000 (multiplicity 4)

---

This record from the Open Quantum Materials Database describes La2Ho2SiI5 after structural relaxation. The functional is PBE-GGA.

Total magnetization, μB/cell: 0.02

Cell lengths 19.4390, 4.2950, 9.2819 Å; angles 90.00, 102.37, 90.00 degrees
Space group C2/m (No. 12)
Asymmetric unit:
La: 0.0013 0.0000 0.2849 (multiplicity 4)
Ho: 0.1427 0.5000 0.5717 (multiplicity 4)
Si: 0.0000 0.5000 0.5000 (multiplicity 2)
I: 0.0000 0.5000 0.0000 (multiplicity 2)
I: 0.1709 0.0000 0.8182 (multiplicity 4)
I: 0.1768 0.0000 0.3506 (multiplicity 4)

---

This record from the Open Quantum Materials Database describes TbDyP2Ir2S2 after structural relaxation. The functional is PBE-GGA.

Total magnetization, μB/cell: 0.69

Cell lengths 4.2694, 4.2694, 8.4144 Å; angles 90.00, 90.00, 90.00 degrees
Space group P4mm (No. 99)
Asymmetric unit:
Tb: 0.0000 0.0000 0.0000 (multiplicity 1)
Dy: 0.5000 0.5000 0.6281 (multiplicity 1)
P: 0.0000 0.0000 0.4513 (multiplicity 1)
P: 0.5000 0.5000 0.1775 (multiplicity 1)
Ir: 0.0000 0.5000 0.3145 (multiplicity 2)
S: 0.0000 0.5000 0.8128 (multiplicity 2)

---

This record from the Open Quantum Materials Database describes Ta4Pd3Se12 after structural relaxation. The functional is PBE-GGA.

Total magnetization, μB/cell: 0.00

Cell lengths 13.7913, 3.5219, 19.4961 Å; angles 90.00, 110.34, 90.00 degrees
Space group C2/m (No. 12)
Asymmetric unit:
Ta: 0.0208 0.0000 0.1501 (multiplicity 4)
Ta: 0.1586 0.0000 0.4078 (multiplicity 4)
Pd: 0.0000 0.5000 0.0000 (multiplicity 2)
Pd: 0.0452 0.5000 0.2826 (multiplicity 4)
Se: 0.0211 0.5000 0.4061 (multiplicity 4)
Se: 0.0926 0.0000 0.7721 (multiplicity 4)
Se: 0.1142 0.5000 0.9267 (multiplicity 4)
Se: 0.1418 0.5000 0.1198 (multiplicity 4)
Se: 0.1821 0.0000 0.2801 (multiplicity 4)
Se: 0.1906 0.0000 0.5533 (multiplicity 4)

---

This record from the Open Quantum Materials Database describes AlCoTc after structural relaxation. The functional is PBE-GGA.

Total magnetization, μB/cell: 3.94
Excess energy over the best structure of this formula in the dataset, meV/atom: 0

Cell lengths 5.6987, 5.6987, 5.6987 Å; angles 90.00, 90.00, 90.00 degrees
Space group F-43m (No. 216)
Asymmetric unit:
Al: 0.0000 0.0000 0.0000 (multiplicity 4)
Co: 0.0000 0.0000 0.5000 (multiplicity 4)
Tc: 0.2500 0.2500 0.2500 (multiplicity 4)

---

This record from the Open Quantum Materials Database describes ReSnMo after structural relaxation. The functional is PBE-GGA.

Total magnetization, μB/cell: 0.03

Cell lengths 6.2014, 6.2014, 6.2014 Å; angles 90.00, 90.00, 90.00 degrees
Space group F-43m (No. 216)
Asymmetric unit:
Re: 0.0000 0.0000 0.0000 (multiplicity 4)
Sn: 0.2500 0.2500 0.2500 (multiplicity 4)
Mo: 0.2500 0.2500 0.7500 (multiplicity 4)

---

This record from the Open Quantum Materials Database describes Nb2BP after structural relaxation. The functional is PBE-GGA.

Total magnetization, μB/cell: 0.00

Cell lengths 3.3473, 3.3473, 11.7539 Å; angles 90.00, 90.00, 120.00 degrees
Space group P6_3/mmc (No. 194)
Asymmetric unit:
Nb: 0.3333 0.6667 0.1055 (multiplicity 4)
B: 0.0000 0.0000 0.0000 (multiplicity 2)
P: 0.3333 0.6667 0.7500 (multiplicity 2)

---

This record from the Open Quantum Materials Database describes KTc after structural relaxation. The functional is PBE-GGA.

Total magnetization, μB/cell: 16.00
Excess energy over the best structure of this formula in the dataset, meV/atom: 1122

Cell lengths 6.8043, 6.8043, 6.8043 Å; angles 90.00, 90.00, 90.00 degrees
Space group Fm-3m (No. 225)
Asymmetric unit:
K: 0.0000 0.0000 0.0000 (multiplicity 4)
Tc: 0.0000 0.0000 0.5000 (multiplicity 4)

---

This record from the Open Quantum Materials Database describes UCuRe after structural relaxation. The functional is PBE-GGA.

Total magnetization, μB/cell: 0.01
Energy of formation from the pure elements, eV per atom: 1.020
Excess energy over the best structure of this formula in the dataset, meV/atom: 321

Cell lengths 6.2278, 6.2278, 6.2278 Å; angles 90.00, 90.00, 90.00 degrees
Space group F-43m (No. 216)
Asymmetric unit:
U: 0.0000 0.0000 0.0000 (multiplicity 4)
Cu: 0.2500 0.2500 0.2500 (multiplicity 4)
Re: 0.2500 0.2500 0.7500 (multiplicity 4)

---

This record from the Open Quantum Materials Database describes YHo2Tm3AgTe2 after structural relaxation. The functional is PBE-GGA.

Total magnetization, μB/cell: 0.06

Cell lengths 3.9663, 14.5052, 8.3985 Å; angles 90.00, 90.00, 90.00 degrees
Space group Amm2 (No. 38)
Asymmetric unit:
Y: 0.0000 0.0000 0.0000 (multiplicity 2)
Ho: 0.0000 0.2012 0.6038 (multiplicity 4)
Tm: 0.5000 0.0000 0.6550 (multiplicity 2)
Tm: 0.5000 0.1271 0.2764 (multiplicity 4)
Ag: 0.0000 0.0000 0.4029 (multiplicity 2)
Te: 0.5000 0.1667 0.9025 (multiplicity 4)

---

This record from the Open Quantum Materials Database describes TbHoB2Ir2C2 after structural relaxation. The functional is PBE-GGA.

Total magnetization, μB/cell: 0.02

Cell lengths 3.7341, 3.7341, 7.7803 Å; angles 90.00, 90.00, 90.00 degrees
Space group P4mm (No. 99)
Asymmetric unit:
Tb: 0.0000 0.0000 0.0000 (multiplicity 1)
Ho: 0.5000 0.5000 0.3224 (multiplicity 1)
B: 0.0000 0.0000 0.5026 (multiplicity 1)
B: 0.5000 0.5000 0.8216 (multiplicity 1)
Ir: 0.0000 0.5000 0.6613 (multiplicity 2)
C: 0.0000 0.0000 0.3086 (multiplicity 1)
C: 0.5000 0.5000 0.0162 (multiplicity 1)

---

This record from the Open Quantum Materials Database describes Hf2Zn3Au after structural relaxation. The functional is PBE-GGA.

Total magnetization, μB/cell: 0.01
Energy of formation from the pure elements, eV per atom: -0.220

Cell lengths 3.1208, 3.1208, 10.6485 Å; angles 90.00, 90.00, 90.00 degrees
Space group P4mm (No. 99)
Asymmetric unit:
Hf: 0.0000 0.0000 0.0000 (multiplicity 1)
Hf: 0.5000 0.5000 0.4971 (multiplicity 1)
Zn: 0.0000 0.0000 0.3196 (multiplicity 1)
Zn: 0.5000 0.5000 0.1778 (multiplicity 1)
Zn: 0.5000 0.5000 0.8284 (multiplicity 1)
Au: 0.0000 0.0000 0.6766 (multiplicity 1)

---

This record from the Open Quantum Materials Database describes PuFeTc after structural relaxation. The functional is PBE-GGA.

Total magnetization, μB/cell: 0.00
Energy of formation from the pure elements, eV per atom: 0.727
Excess energy over the best structure of this formula in the dataset, meV/atom: 0

Cell lengths 5.8437, 5.8437, 5.8437 Å; angles 90.00, 90.00, 90.00 degrees
Space group F-43m (No. 216)
Asymmetric unit:
Pu: 0.0000 0.0000 0.0000 (multiplicity 4)
Fe: 0.2500 0.2500 0.7500 (multiplicity 4)
Tc: 0.0000 0.0000 0.5000 (multiplicity 4)

---

This record from the Open Quantum Materials Database describes Li2LaSn2Au after structural relaxation. The functional is PBE-GGA.

Total magnetization, μB/cell: 0.01

Cell lengths 5.1794, 5.1794, 6.3433 Å; angles 90.00, 90.00, 120.00 degrees
Space group P-6m2 (No. 187)
Asymmetric unit:
Li: 0.0000 0.0000 0.2305 (multiplicity 2)
La: 0.6667 0.3333 0.5000 (multiplicity 1)
Sn: 0.3333 0.6667 0.5000 (multiplicity 1)
Sn: 0.6667 0.3333 0.0000 (multiplicity 1)
Au: 0.3333 0.6667 0.0000 (multiplicity 1)

---

This record from the Open Quantum Materials Database describes LuSiHO4 after structural relaxation. The functional is PBE-GGA.

Total magnetization, μB/cell: 0.00
Excess energy over the best structure of this formula in the dataset, meV/atom: 116

Cell lengths 12.7154, 15.3979, 4.3224 Å; angles 90.00, 90.00, 90.00 degrees
Space group Pnma (No. 62)
Asymmetric unit:
Lu: 0.0647 0.0993 0.1325 (multiplicity 8)
Lu: 0.1118 0.7500 0.2789 (multiplicity 4)
Si: 0.1197 0.2500 0.7116 (multiplicity 4)
Si: 0.1592 0.5883 0.7199 (multiplicity 8)
H: 0.2130 0.2500 0.3097 (multiplicity 4)
H: 0.2413 0.0858 0.6186 (multiplicity 8)
O: 0.0495 0.1632 0.6419 (multiplicity 8)
O: 0.0768 0.5082 0.7873 (multiplicity 8)
O: 0.0861 0.6682 0.8542 (multiplicity 8)
O: 0.1309 0.2500 0.0861 (multiplicity 4)
O: 0.1926 0.6209 0.3796 (multiplicity 8)
O: 0.2242 0.0708 0.3889 (multiplicity 8)
O: 0.2342 0.2500 0.5416 (multiplicity 4)

---

This record from the Open Quantum Materials Database describes PrAlGaPdAu after structural relaxation. The functional is PBE-GGA.

Total magnetization, μB/cell: 0.01
Excess energy over the best structure of this formula in the dataset, meV/atom: 19

Cell lengths 4.4657, 4.4657, 10.1664 Å; angles 90.00, 90.00, 90.00 degrees
Space group P4/nmm (No. 129, origin choice 2)
Asymmetric unit:
Pr: 0.2500 0.2500 0.2428 (multiplicity 2)
Al: 0.2500 0.2500 0.6349 (multiplicity 2)
Ga: 0.2500 0.7500 0.0000 (multiplicity 2)
Pd: 0.2500 0.2500 0.8754 (multiplicity 2)
Au: 0.2500 0.7500 0.5000 (multiplicity 2)

---

This record from the Open Quantum Materials Database describes SrCdBAu after structural relaxation. The functional is PBE-GGA.

Excess energy over the best structure of this formula in the dataset, meV/atom: 220

Cell lengths 7.0034, 7.0034, 7.0034 Å; angles 90.00, 90.00, 90.00 degrees
Space group F-43m (No. 216)
Asymmetric unit:
Sr: 0.0000 0.0000 0.0000 (multiplicity 4)
Cd: 0.2500 0.2500 0.2500 (multiplicity 4)
B: 0.0000 0.0000 0.5000 (multiplicity 4)
Au: 0.2500 0.2500 0.7500 (multiplicity 4)

---

This record from the Open Quantum Materials Database describes MgPd after structural relaxation. The functional is PBE-GGA.

Cell lengths 5.8022, 4.6972, 7.3465 Å; angles 90.00, 101.45, 90.00 degrees
Space group P2_1/m (No. 11)
Asymmetric unit:
Mg: 0.0231 0.2500 0.1011 (multiplicity 2)
Mg: 0.1466 0.7500 0.5607 (multiplicity 2)
Mg: 0.3655 0.2500 0.4344 (multiplicity 2)
Pd: 0.1905 0.2500 0.7630 (multiplicity 2)
Pd: 0.3080 0.7500 0.2363 (multiplicity 2)
Pd: 0.4732 0.7500 0.8886 (multiplicity 2)

---

This record from the Open Quantum Materials Database describes YTm3Lu2Sb2Os after structural relaxation. The functional is PBE-GGA.

Total magnetization, μB/cell: 0.03

Cell lengths 4.1863, 13.9057, 8.1044 Å; angles 90.00, 90.00, 90.00 degrees
Space group Amm2 (No. 38)
Asymmetric unit:
Y: 0.0000 0.0000 0.0000 (multiplicity 2)
Tm: 0.5000 0.0000 0.6336 (multiplicity 2)
Tm: 0.5000 0.1180 0.2759 (multiplicity 4)
Lu: 0.0000 0.1938 0.5864 (multiplicity 4)
Sb: 0.5000 0.1677 0.8927 (multiplicity 4)
Os: 0.0000 0.0000 0.4018 (multiplicity 2)

---

This record from the Open Quantum Materials Database describes NiHgAsIr after structural relaxation. The functional is PBE-GGA.

Total magnetization, μB/cell: 0.02

Cell lengths 6.4001, 6.4001, 6.4001 Å; angles 90.00, 90.00, 90.00 degrees
Space group F-43m (No. 216)
Asymmetric unit:
Ni: 0.0000 0.0000 0.0000 (multiplicity 4)
Hg: 0.0000 0.0000 0.5000 (multiplicity 4)
As: 0.2500 0.2500 0.7500 (multiplicity 4)
Ir: 0.2500 0.2500 0.2500 (multiplicity 4)

---

This record from the Open Quantum Materials Database describes InCo3Te5 after structural relaxation. The functional is PBE-GGA.

Total magnetization, μB/cell: 0.01

Cell lengths 5.6752, 5.6752, 7.5809 Å; angles 90.00, 90.00, 120.00 degrees
Space group P6/mmm (No. 191)
Asymmetric unit:
In: 0.0000 0.0000 0.0000 (multiplicity 1)
Co: 0.0000 0.5000 0.5000 (multiplicity 3)
Te: 0.0000 0.0000 0.5000 (multiplicity 1)
Te: 0.3333 0.6667 0.2453 (multiplicity 4)

---

Number 1: total DFT energy (no corrections) -49.2 eV/f.u.. Number 2: total DFT energy (no corrections) -14.6 eV/f.u.. Number 3: total DFT energy (no corrections) -44.5 eV/f.u.. Number 4: total DFT energy (no corrections) -54.5 eV/f.u.. Number 5: total DFT energy (no corrections) -117.4 eV/f.u.. Number 6: total DFT energy (no corrections) -20.0 eV/f.u.. Number 7: total DFT energy (no corrections) -25.9 eV/f.u.. Number 8: total DFT energy (no corrections) -35.6 eV/f.u.. Number 9: total DFT energy (no corrections) -6.4 eV/f.u.. Number 10: total DFT energy (no corrections) -24.4 eV/f.u.. Number 11: total DFT energy (no corrections) -43.9 eV/f.u.. Number 12: total DFT energy (no corrections) -62.6 eV/f.u.. Number 13: total DFT energy (no corrections) -28.3 eV/f.u.. Number 14: total DFT energy (no corrections) -30.6 eV/f.u.. Number 15: total DFT energy (no corrections) -21.7 eV/f.u.. Number 16: total DFT energy (no corrections) -51.6 eV/f.u.. Number 17: total DFT energy (no corrections) -23.8 eV/f.u.. Number 18: total DFT energy (no corrections) -10.2 eV/f.u.. Number 19: total DFT energy (no corrections) -7.7 eV/f.u.. Number 20: total DFT energy (no corrections) -54.5 eV/f.u.. Number 21: total DFT energy (no corrections) -17.1 eV/f.u.. Number 22: total DFT energy (no corrections) -39.8 eV/f.u..